1.
Here is a relaxed RbCu2HgBr8 crystal from the Alexandria database. Energies are from PBE.

## Properties
* V: 384 Å³/f.u.
* E_form (uncorrected): -5.55 eV/f.u.
* E_tot: -2.367 eV per atom

a b c (Å): 6.7808 6.7808 9.6540
angles (deg): 90.00 90.00 120.00
Space group P-3 (No. 147)
Symmetry-distinct sites (fractional):
Rb: 0.0000 0.0000 0.0000
Cu: 0.3333 0.6667 0.7415
Hg: 0.0000 0.0000 0.5000
Br: 0.0090 0.6729 0.3201
Br: 0.3333 0.6667 0.9865


2.
Here is a relaxed Rb3CuHg2Br9 crystal from the Alexandria database. Energies are from PBE.

## Properties
* V: 498 Å³/f.u.
* E_form (uncorrected): -13.46 eV/f.u.
* E_tot: -2.408 eV per atom

a b c (Å): 7.7604 7.7604 9.5394
angles (deg): 90.00 90.00 120.00
Space group P-3m1 (No. 164)
Symmetry-distinct sites (fractional):
Rb: 0.0000 0.0000 0.0000
Rb: 0.3333 0.6667 0.6660
Cu: 0.0000 0.0000 0.5000
Hg: 0.3333 0.6667 0.1807
Br: 0.0000 0.5000 0.0000
Br: 0.1587 0.3173 0.3433


3.
Here is a relaxed Rb3Cu2HgBr6 crystal from the Alexandria database. Energies are from PBE.

## Properties
* V: 524 Å³/f.u.
* E_form (uncorrected): -11.09 eV/f.u.
* E_tot: -2.711 eV per atom

a b c (Å): 8.2713 8.2713 8.8510
angles (deg): 90.00 90.00 120.00
Space group P-3m1 (No. 164)
Symmetry-distinct sites (fractional):
Rb: 0.0000 0.0000 0.0000
Rb: 0.3333 0.6667 0.6425
Cu: 0.3333 0.6667 0.2490
Hg: 0.0000 0.0000 0.5000
Br: 0.1707 0.3413 0.2761


4.
Here is a relaxed Rb3Cu2HgBr8 crystal from the Alexandria database. Energies are from PBE.

## Properties
* V: 500 Å³/f.u.
* E_form (uncorrected): -13.02 eV/f.u.
* E_tot: -2.700 eV per atom

a b c (Å): 7.6894 7.6894 9.7622
angles (deg): 90.00 90.00 120.00
Space group P-3m1 (No. 164)
Symmetry-distinct sites (fractional):
Rb: 0.0000 0.0000 0.0000
Rb: 0.3333 0.6667 0.6226
Cu: 0.3333 0.6667 0.2032
Hg: 0.0000 0.0000 0.5000
Br: 0.1682 0.3363 0.3171
Br: 0.3333 0.6667 0.9666


5.
Here is a relaxed Rb3Cu2HgBr9 crystal from the Alexandria database. Energies are from PBE.

## Properties
* V: 458 Å³/f.u.
* E_form (uncorrected): -13.17 eV/f.u.
* E_tot: -2.642 eV per atom

a b c (Å): 7.5469 7.5469 9.2891
angles (deg): 90.00 90.00 120.00
Space group P-3m1 (No. 164)
Symmetry-distinct sites (fractional):
Rb: 0.0000 0.0000 0.0000
Rb: 0.3333 0.6667 0.6686
Cu: 0.3333 0.6667 0.1551
Hg: 0.0000 0.0000 0.5000
Br: 0.0000 0.5000 0.0000
Br: 0.1734 0.3468 0.3202


6.
Here is a relaxed RbCuHgBr4 crystal from the Alexandria database. Energies are from PBE.

## Properties
* V: 245 Å³/f.u.
* E_form (uncorrected): -5.21 eV/f.u.
* E_tot: -2.466 eV per atom

a b c (Å): 7.070 7.791 9.218
angles (deg): 90.00 105.46 90.00
Space group P2_1/m (No. 11)
Symmetry-distinct sites (fractional):
Rb: 0.243 0.250 0.085
Cu: 0.191 0.750 0.286
Hg: 0.282 0.250 0.642
Br: 0.043 0.014 0.723
Br: 0.378 0.750 0.099
Br: 0.474 0.750 0.525


7.
Here is a relaxed RbCu4Hg3Br12 crystal from the Alexandria database. Energies are from PBE.

## Properties
* V: 681 Å³/f.u.
* E_form (uncorrected): -9.11 eV/f.u.
* E_tot: -2.372 eV per atom

a b c (Å): 14.7003 14.7003 10.9209
angles (deg): 90.00 90.00 120.00
Space group R32 (No. 155, hexagonal axes)
Symmetry-distinct sites (fractional):
Rb: 0.0000 0.0000 0.0000
Cu: 0.0000 0.0000 0.5000
Cu: 0.0000 0.4218 0.5000
Hg: 0.0000 0.5641 0.0000
Br: 0.0000 0.5862 0.5000
Br: 0.0000 0.8403 0.5000
Br: 0.0479 0.2102 0.1924


8.
Here is a relaxed Rb2Cu2HgBr6 crystal from the Alexandria database. Energies are from PBE.

## Properties
* V: 366 Å³/f.u.
* E_form (uncorrected): -9.26 eV/f.u.
* E_tot: -2.703 eV per atom

a b c (Å): 13.873 7.713 7.896
angles (deg): 90.00 119.84 90.00
Space group C2/m (No. 12)
Symmetry-distinct sites (fractional):
Rb: 0.232 0.000 0.215
Cu: 0.052 0.500 0.199
Hg: 0.000 0.000 0.500
Br: 0.047 0.249 0.798
Br: 0.247 0.500 0.326